A plane-wave DFT calculation with PBE was carried out for an optimized crystal structure of HfSe2S2.

Unit cell a=3.8465 b=3.8465 c=11.4432 alpha=92.06 beta=92.06 gamma=58.34
Fractional coordinates of all 5 atoms:
Hf 0.0000 0.0000 0.0000
Se 0.3213 0.3213 0.8639
Se 0.6787 0.6787 0.1361
S 0.3758 0.3758 0.4564
S 0.6242 0.6242 0.5436

Values from the calculation:
Uncorrected formation energy = -0.67 eV/atom
Total energy = -0.4192 Ry per atom

A plane-wave DFT calculation with PBE was carried out for an optimized crystal structure of Zr2MnPt.

Unit cell a=8.1962 b=8.1962 c=8.1962 alpha=22.98 beta=22.98 gamma=22.98
Fractional coordinates of all 4 atoms:
Zr 0.2449 0.2449 0.2449
Zr 0.7551 0.7551 0.7551
Mn 0.5000 0.5000 0.5000
Pt 0.0000 0.0000 0.0000

Values from the calculation:
Formation energy = -176 meV/atom
Total energy = -0.6066 Ry per atom
Polymorph energy (0 for the lowest one) = 368 meV per atom

> total energy of number 1 (HfSe2S2)?

-0.4192 Ry per atom